1.
5
Lattice="4.876 0.000 0.000 0.000 5.811 0.000 0.000 0.000 4.876" Properties=species:S:1:pos:R:3 comment="CaW2IN | Alexandria via LeMat-Bulk | PBE | relaxed" total_energy_ev_per_atom=-4.51 sg="P4/mmm (123)" pbc="T T T"
N 2.438 2.905 2.438
W 0.000 0.000 2.438
W 2.438 0.000 0.000
Ca 0.000 2.905 0.000
I 0.000 0.000 0.000



2.
5
Lattice="4.488 0.000 0.000 0.000 4.488 0.000 0.000 0.000 5.959" Properties=species:S:1:pos:R:3 comment="CaYIN2 | Alexandria via LeMat-Bulk | PBE | relaxed" total_energy_ev_per_atom=-5.35 sg="P4/mmm (123)" pbc="T T T"
Y 0.000 0.000 0.000
Ca 2.244 2.244 2.980
N 0.000 2.244 0.000
N 2.244 0.000 0.000
I 0.000 0.000 2.980



3.
5
Lattice="-2.810 2.989 1.781 -2.419 -3.324 1.761 3.113 0.178 4.612" Properties=species:S:1:pos:R:3 comment="CaYIN2 | Alexandria via LeMat-Bulk | PBE | relaxed" total_energy_ev_per_atom=-4.68 sg="P4/mmm (123)" pbc="T T T"
N -1.405 1.495 0.891
N -1.210 -1.662 0.881
Y -1.058 -0.078 4.077
Ca 0.000 0.000 0.000
I 1.557 0.089 2.306



4.
5
Lattice="-5.053 -2.779 1.262 1.473 -0.082 5.716 -1.733 3.376 0.495" Properties=species:S:1:pos:R:3 comment="CaZnI2N | Alexandria via LeMat-Bulk | PBE | relaxed" total_energy_ev_per_atom=-3.01 sg="P4/mmm (123)" pbc="T T T"
I 0.736 -0.041 2.858
I -2.527 -1.390 0.631
Zn 0.000 0.000 0.000
N -0.867 1.688 0.247
Ca -2.657 0.258 3.737